# BeCrOs | the Alexandria database | PBE-GGA | optimized geometry
# - ΔE to the lowest computed polymorph: 2.657 kcal/mol of atoms
# - M_tot: 0.000 Bohr magnetons per cell
# - N(E_F): 0.595 states/eV/atom
data_BeCrOs
_chemical_formula_sum 'Be4 Cr4 Os4'
_symmetry_space_group_name_H-M 'C 1 2/m 1'
_symmetry_Int_Tables_number 12
_symmetry_space_group_name_Hall '-C 2y'
_cell_length_a 8.262
_cell_length_b 4.080
_cell_length_c 4.756
_cell_angle_alpha 90.00
_cell_angle_beta 121.04
_cell_angle_gamma 90.00
loop_
_atom_site_label
_atom_site_type_symbol
_atom_site_fract_x
_atom_site_fract_y
_atom_site_fract_z
Be1 Be 0.158 0.000 0.235
Cr1 Cr 0.006 0.500 0.264
Os1 Os 0.173 0.000 0.752

# Be2CrOs | the Alexandria database | PBE-GGA | optimized geometry
# - ΔE to the lowest computed polymorph: 14.719 kcal/mol of atoms
# - M_tot: 0.000 Bohr magnetons per cell
# - N(E_F): 0.514 states/eV/atom
data_Be2CrOs
_chemical_formula_sum 'Be8 Cr4 Os4'
_symmetry_space_group_name_H-M 'I -4 2 d'
_symmetry_Int_Tables_number 122
_symmetry_space_group_name_Hall 'I -4 2bw'
_cell_length_a 3.415
_cell_length_b 3.415
_cell_length_c 16.532
_cell_angle_alpha 90.00
_cell_angle_beta 90.00
_cell_angle_gamma 90.00
loop_
_atom_site_label
_atom_site_type_symbol
_atom_site_fract_x
_atom_site_fract_y
_atom_site_fract_z
Be1 Be 0.248 0.250 0.125
Cr1 Cr 0.000 0.000 0.500
Os1 Os 0.000 0.000 0.000

# Be2CrOs | the Alexandria database | PBE-GGA | optimized geometry
# - ΔE to the lowest computed polymorph: 3.441 kcal/mol of atoms
# - M_tot: 1.895 Bohr magnetons per cell
# - N(E_F): 0.821 states/eV/atom
data_Be2CrOs
_chemical_formula_sum 'Be4 Cr2 Os2'
_symmetry_space_group_name_H-M 'C 1 2/m 1'
_symmetry_Int_Tables_number 12
_symmetry_space_group_name_Hall '-C 2y'
_cell_length_a 8.448
_cell_length_b 2.962
_cell_length_c 3.977
_cell_angle_alpha 90.00
_cell_angle_beta 117.94
_cell_angle_gamma 90.00
loop_
_atom_site_label
_atom_site_type_symbol
_atom_site_fract_x
_atom_site_fract_y
_atom_site_fract_z
Be1 Be 0.250 0.000 0.250
Cr1 Cr 0.000 0.000 0.500
Os1 Os 0.000 0.500 0.000

no.,energy of formation from the pure elements (eV/atom)
1,-0.077
2,0.512
3,0.023